# 1
# ReP3W PBE relaxed
# total DFT energy (no corrections): -6.9068 eV/atom
# total magnetization: 0.681 μB/atom
# energy of formation from the pure elements: 1419 meV per atom
data_ReP3W
_cell_length_a 4.665
_cell_length_b 4.665
_cell_length_c 4.665
_cell_angle_alpha 90.00
_cell_angle_beta 90.00
_cell_angle_gamma 90.00
_symmetry_space_group_name_H-M 'P m -3 m'
_symmetry_Int_Tables_number 221
_symmetry_space_group_name_Hall '-P 4 2 3'
loop_
_atom_site_label
_atom_site_type_symbol
_atom_site_fract_x
_atom_site_fract_y
_atom_site_fract_z
Re1 Re 0.000 0.000 0.000
P1 P 0.000 0.500 0.500
W1 W 0.500 0.500 0.500

=====

# 2
# SnH3Os PBE relaxed
# total DFT energy (no corrections): -3.4705 eV/atom
# total magnetization: 0.602 μB/atom
data_SnH3Os
_cell_length_a 3.851
_cell_length_b 3.851
_cell_length_c 3.851
_cell_angle_alpha 90.00
_cell_angle_beta 90.00
_cell_angle_gamma 90.00
_symmetry_space_group_name_H-M 'P m -3 m'
_symmetry_Int_Tables_number 221
_symmetry_space_group_name_Hall '-P 4 2 3'
loop_
_atom_site_label
_atom_site_type_symbol
_atom_site_fract_x
_atom_site_fract_y
_atom_site_fract_z
Sn1 Sn 0.000 0.000 0.000
H1 H 0.000 0.000 0.500
Os1 Os 0.500 0.500 0.500

=====

# 3
# SmHo2Ga9 PBE relaxed
# total DFT energy (no corrections): -3.9577 eV/atom
# total magnetization: 0.000 μB/atom
# energy of formation from the pure elements: -531 meV per atom
data_SmHo2Ga9
_cell_length_a 4.287
_cell_length_b 4.287
_cell_length_c 12.858
_cell_angle_alpha 90.00
_cell_angle_beta 90.00
_cell_angle_gamma 90.00
_symmetry_space_group_name_H-M 'P 4/m m m'
_symmetry_Int_Tables_number 123
_symmetry_space_group_name_Hall '-P 4 2'
loop_
_atom_site_label
_atom_site_type_symbol
_atom_site_fract_x
_atom_site_fract_y
_atom_site_fract_z
Sm1 Sm 0.000 0.000 0.000
Ho1 Ho 0.000 0.000 0.335
Ga1 Ga 0.000 0.500 0.170
Ga2 Ga 0.000 0.500 0.500
Ga3 Ga 0.500 0.500 0.000
Ga4 Ga 0.500 0.500 0.334

=====

# 4
# Y6Tm5Th PBE relaxed
# total DFT energy (no corrections): -5.6823 eV/atom
# total magnetization: 0.000 μB/atom
# energy of formation from the pure elements: 31 meV per atom
data_Y6Tm5Th
_cell_length_a 6.134
_cell_length_b 10.622
_cell_length_c 11.747
_cell_angle_alpha 90.00
_cell_angle_beta 100.02
_cell_angle_gamma 90.00
_symmetry_space_group_name_H-M 'C 1 2/m 1'
_symmetry_Int_Tables_number 12
_symmetry_space_group_name_Hall '-C 2y'
loop_
_atom_site_label
_atom_site_type_symbol
_atom_site_fract_x
_atom_site_fract_y
_atom_site_fract_z
Y1 Y 0.248 0.000 0.250
Y2 Y 0.248 0.165 0.750
Tm1 Tm 0.000 0.167 0.000
Tm2 Tm 0.000 0.333 0.500
Tm3 Tm 0.000 0.500 0.000
Th1 Th 0.000 0.000 0.500

=====

# 5
# LiNd2Ga PBE relaxed
# total DFT energy (no corrections): -3.9136 eV/atom
# total magnetization: 0.000 μB/atom
# energy of formation from the pure elements: -294 meV per atom
data_LiNd2Ga
_cell_length_a 7.439
_cell_length_b 7.439
_cell_length_c 7.439
_cell_angle_alpha 90.00
_cell_angle_beta 90.00
_cell_angle_gamma 90.00
_symmetry_space_group_name_H-M 'F m -3 m'
_symmetry_Int_Tables_number 225
_symmetry_space_group_name_Hall '-F 4 2 3'
loop_
_atom_site_label
_atom_site_type_symbol
_atom_site_fract_x
_atom_site_fract_y
_atom_site_fract_z
Li1 Li 0.000 0.000 0.000
Nd1 Nd 0.250 0.250 0.250
Ga1 Ga 0.000 0.000 0.500

=====

# 6
# La3NdTh3 PBE relaxed
# total DFT energy (no corrections): -5.8947 eV/atom
# total magnetization: 0.000 μB/atom
# energy of formation from the pure elements: 78 meV per atom
data_La3NdTh3
_cell_length_a 9.6850
_cell_length_b 9.6850
_cell_length_c 6.0240
_cell_angle_alpha 90.00
_cell_angle_beta 90.00
_cell_angle_gamma 120.00
_symmetry_space_group_name_H-M 'P 63/m'
_symmetry_Int_Tables_number 176
_symmetry_space_group_name_Hall '-P 6c'
loop_
_atom_site_label
_atom_site_type_symbol
_atom_site_fract_x
_atom_site_fract_y
_atom_site_fract_z
La1 La 0.0444 0.2468 0.2500
Nd1 Nd 0.3333 0.6667 0.2500
Th1 Th 0.1041 0.4926 0.7500

=====

# 7
# SmPu2MnC4 PBE relaxed
# total DFT energy (no corrections): -9.9010 eV/atom
# total magnetization: 1.229 μB/atom
# energy of formation from the pure elements: 30 meV per atom
data_SmPu2MnC4
_cell_length_a 3.514
_cell_length_b 11.382
_cell_length_c 11.925
_cell_angle_alpha 90.00
_cell_angle_beta 90.00
_cell_angle_gamma 90.00
_symmetry_space_group_name_H-M 'C m c m'
_symmetry_Int_Tables_number 63
_symmetry_space_group_name_Hall '-C 2c 2'
loop_
_atom_site_label
_atom_site_type_symbol
_atom_site_fract_x
_atom_site_fract_y
_atom_site_fract_z
Sm1 Sm 0.000 0.103 0.250
Pu1 Pu 0.000 0.369 0.045
Mn1 Mn 0.000 0.166 0.750
C1 C 0.000 0.000 0.000
C2 C 0.000 0.261 0.628
C3 C 0.000 0.413 0.250

=====

# 8
# SrHgSbTe2 PBE relaxed
# total DFT energy (no corrections): -2.1529 eV/atom
# total magnetization: 0.295 μB/atom
# formation energy from raw total energies: 0.325 eV/atom
data_SrHgSbTe2
_cell_length_a 6.192
_cell_length_b 6.192
_cell_length_c 6.397
_cell_angle_alpha 90.00
_cell_angle_beta 90.00
_cell_angle_gamma 90.00
_symmetry_space_group_name_H-M 'P 4/m m m'
_symmetry_Int_Tables_number 123
_symmetry_space_group_name_Hall '-P 4 2'
loop_
_atom_site_label
_atom_site_type_symbol
_atom_site_fract_x
_atom_site_fract_y
_atom_site_fract_z
Sr1 Sr 0.000 0.000 0.000
Hg1 Hg 0.500 0.500 0.500
Sb1 Sb 0.000 0.000 0.500
Te1 Te 0.000 0.500 0.000